A relaxed structure of CoGeTeO. Source: OQMD, functional GGA+U.

Structure (POSCAR):
```
CoGeTeO
1.0
3.739 0.000 0.000
0.000 3.739 0.000
0.000 0.000 9.418
Co O Te Ge
2 2 2 2
Cartesian
2.804 2.804 1.414
0.935 0.935 8.004
0.935 2.804 4.709
2.804 0.935 4.709
2.804 2.804 8.214
0.935 0.935 1.204
0.935 0.935 5.673
2.804 2.804 3.745
```

Properties
Size of the total moment: 1.0 μB/f.u.
Symmetry: P4/nmm, No. 129
Energy relative to the lowest polymorph listed for this composition: 0.000 eV/atom